Record 1
Compound: NbAlTlTc2
Source: the Alexandria database
Functional: GGA-PBE
Structure: optimized geometry

Output
**E_form**: 2.285 eV/atom
**Calculated density**: 6.9 g/cm³
**Calculated volume**: 25.1 A^3/atom
**Size of the total moment**: 1.34 μB per cell
**Space group**: P4/mmm

abc: 4.959 5.095 4.959
angles: 90.00 90.00 90.00
Site moments in Bohr magnetons follow the coordinates.
Fractional coordinates of all 5 atoms:
1 Tl 0.000 0.000 0.000  -0.04
2 Tc 0.000 0.000 0.500  1.63
3 Tc 0.500 0.000 0.000  1.23
4 Nb 0.000 0.500 0.000  -1.38
5 Al 0.500 0.500 0.500  -0.01

=====

Record 2
Compound: PuTh2Ge4Pt3
Source: the Alexandria database
Functional: GGA-PBE
Structure: optimized geometry

Output
**E_form**: -0.742 eV/atom
**Calculated density**: 12.5 g/cm³
**Calculated volume**: 21.1 A^3/atom
**Size of the total moment**: 5.48 μB per cell
**Space group**: P-4m2

abc: 4.361 4.361 11.068
angles: 90.00 90.00 90.00
Site moments in Bohr magnetons follow the coordinates.
Fractional coordinates of all 10 atoms:
1 Pu 0.500 0.500 0.500  5.12
2 Th 0.500 0.000 0.235  0.07
3 Th 0.000 0.500 0.765  0.07
4 Ge 0.500 0.500 0.000  0.00
5 Ge 0.000 0.000 0.000  0.00
6 Ge 0.500 0.000 0.663  -0.02
7 Ge 0.000 0.500 0.337  -0.02
8 Pt 0.000 0.000 0.500  -0.04
9 Pt 0.500 0.000 0.886  -0.01
10 Pt 0.000 0.500 0.114  -0.01

=====

Record 3
Compound: Mg5CdIn2Ag2
Source: the Alexandria database
Functional: GGA-PBE
Structure: optimized geometry

Output
**E_form**: -0.074 eV/atom
**Calculated density**: 5.1 g/cm³
**Calculated volume**: 22.2 A^3/atom
**Size of the total moment**: 0.00 μB per cell
**Space group**: P4/mbm

abc: 4.243 10.237 10.237
angles: 90.00 90.00 90.00
Fractional coordinates of all 20 atoms:
1 Mg 0.500 0.201 0.078
2 Mg 0.500 0.799 0.922
3 Mg 0.500 0.078 0.799
4 Mg 0.500 0.701 0.422
5 Mg 0.500 0.922 0.201
6 Mg 0.500 0.299 0.578
7 Mg 0.500 0.578 0.701
8 Mg 0.500 0.422 0.299
9 Mg 0.500 0.500 0.000
10 Mg 0.500 0.000 0.500
11 Cd 0.000 0.000 0.000
12 Cd 0.000 0.500 0.500
13 In 0.000 0.671 0.171
14 In 0.000 0.329 0.829
15 In 0.000 0.171 0.329
16 In 0.000 0.829 0.671
17 Ag 0.000 0.126 0.626
18 Ag 0.000 0.874 0.374
19 Ag 0.000 0.626 0.874
20 Ag 0.000 0.374 0.126

=====

Record 4
Compound: LaIn2CoSi
Source: the Alexandria database
Functional: GGA-PBE
Structure: optimized geometry

Output
**Calculated density**: 6.2 g/cm³
**Calculated volume**: 24.3 A^3/atom
**Size of the total moment**: 0.87 μB per cell
**Space group**: P4/mmm
**Formation energy (no corrections)**: 0.118 eV per atom

abc: 5.277 4.358 5.277
angles: 90.00 90.00 90.00
Site moments in Bohr magnetons follow the coordinates.
Fractional coordinates of all 5 atoms:
1 Si 0.000 0.000 0.000  -0.02
2 In 0.000 0.000 0.500  0.01
3 In 0.500 0.000 0.000  0.00
4 Co 0.000 0.500 0.000  0.97
5 La 0.500 0.500 0.500  -0.02

=====

Record 5
Compound: Si2Ge2Ru
Source: the Alexandria database
Functional: GGA-PBE
Structure: optimized geometry

Output
**Calculated density**: 6.0 g/cm³
**Calculated volume**: 16.7 A^3/atom
**Size of the total moment**: 0.00 μB per cell
**Space group**: I4/mmm
**Formation energy (no corrections)**: 0.321 eV per atom

abc: 3.267 3.267 8.177
angles: 78.48 78.48 90.00
Fractional coordinates of all 5 atoms:
1 Ru 0.000 0.000 0.000
2 Ge 0.409 0.409 0.182
3 Ge 0.591 0.591 0.818
4 Si 0.750 0.250 0.500
5 Si 0.250 0.750 0.500

=====

Record 6
Compound: Cd2CoSe
Source: the Alexandria database
Functional: GGA-PBE
Structure: optimized geometry

Output
**Calculated density**: 7.8 g/cm³
**Calculated volume**: 19.4 A^3/atom
**Size of the total moment**: 0.00 μB per cell
**Space group**: P4mm
**Formation energy (no corrections)**: 0.041 eV per atom

abc: 3.008 3.008 8.567
angles: 90.00 90.00 90.00
Fractional coordinates of all 4 atoms:
1 Cd 0.000 0.000 0.014
2 Cd 0.500 0.500 0.296
3 Co 0.000 0.000 0.529
4 Se 0.500 0.500 0.660

=====

Record 7
Compound: CsLiHfSb2
Source: the Alexandria database
Functional: GGA-PBE
Structure: optimized geometry

Output
**Calculated density**: 4.7 g/cm³
**Calculated volume**: 39.4 A^3/atom
**Size of the total moment**: 0.84 μB per cell
**Space group**: P4/mmm
**Formation energy (no corrections)**: 0.302 eV per atom

abc: 5.608 5.608 6.267
angles: 90.00 90.00 90.00
Site moments in Bohr magnetons follow the coordinates.
Fractional coordinates of all 5 atoms:
1 Cs 0.000 0.000 0.500  0.06
2 Sb 0.000 0.500 0.000  -0.02
3 Sb 0.500 0.000 0.000  -0.02
4 Hf 0.000 0.000 0.000  0.48
5 Li 0.500 0.500 0.500  0.01

=====

Record 8
Compound: Fe3C
Source: the Alexandria database
Functional: GGA-PBE
Structure: optimized geometry

Output
**E_form**: 0.385 eV/atom
**Calculated density**: 7.4 g/cm³
**Calculated volume**: 10.1 A^3/atom
**Size of the total moment**: 5.57 μB per cell
**Space group**: Cmmm

abc: 2.556 2.556 6.729
angles: 90.00 90.00 113.87
Site moments in Bohr magnetons follow the coordinates.
Fractional coordinates of all 4 atoms:
1 C 0.000 0.000 0.000  -0.13
2 Fe 0.500 0.500 0.809  1.59
3 Fe 0.000 0.000 0.500  2.61
4 Fe 0.500 0.500 0.191  1.59

=====

Among the records above, which one has the lowest calculated density? CsLiHfSb2